The following is a DFT calculation (PBE) of an optimized crystal structure of BaCaV2Mo.

The structure belongs to space group P4/mmm (No. 123); the cell edges are 5.022, 5.022 and 5.712 Å and the angles 90.00°, 90.00° and 90.00°. Symmetry generates all atoms from Ba at (0.000, 0.000, 0.000), Ca at (0.000, 0.000, 0.500), V at (0.000, 0.500, 0.500) and Mo at (0.500, 0.500, 0.000).

As for the mass density: 4.33 g/cm3. The total energy is -4.209 eV per atom.

The following is a DFT calculation (PBE) of an optimized crystal structure of Er2PaB6.

The structure belongs to space group P6/mmm (No. 191); the cell edges are 5.6330, 5.6330 and 3.9033 Å and the angles 90.00°, 90.00° and 120.00°. Symmetry generates all atoms from Er at (0.3333, 0.6667, 0.0000), Pa at (0.0000, 0.0000, 0.0000) and B at (0.0000, 0.3317, 0.5000).

As for the mass density: 9.76 g/cm3. The total energy is -7.111 eV per atom.

The following is a DFT calculation (PBE) of an optimized crystal structure of AcPu2Sn.

The structure belongs to space group P4/mmm (No. 123); the cell edges are 4.157, 4.157 and 7.034 Å and the angles 90.00°, 90.00° and 90.00°. Symmetry generates all atoms from Ac at (0.000, 0.000, 0.000), Pu at (0.500, 0.500, 0.293) and Sn at (0.000, 0.000, 0.500).

The polymorph energy (0 for the lowest one) is 99.6 meV/atom. As for the mass density: 11.39 g/cm3. The total energy is -9.279 eV per atom.

The following is a DFT calculation (PBE) of an optimized crystal structure of AcAgPdPt.

The structure belongs to space group F-43m (No. 216); the cell edges are 7.082, 7.082 and 7.082 Å and the angles 90.00°, 90.00° and 90.00°. Symmetry generates all atoms from Ac at (0.000, 0.000, 0.000), Ag at (0.000, 0.000, 0.500), Pd at (0.250, 0.250, 0.250) and Pt at (0.250, 0.250, 0.750).

As for the mass density: 11.90 g/cm3. The total energy is -5.053 eV per atom.

The following is a DFT calculation (PBE) of an optimized crystal structure of Rb2NaHgTe.

The structure belongs to space group P4/mmm (No. 123); the cell edges are 7.100, 7.100 and 5.879 Å and the angles 90.00°, 90.00° and 90.00°. Symmetry generates all atoms from Rb at (0.000, 0.500, 0.000), Na at (0.000, 0.000, 0.500), Hg at (0.500, 0.500, 0.500) and Te at (0.000, 0.000, 0.000).

The polymorph energy (0 for the lowest one) is 0.0 meV/atom. As for the mass density: 2.93 g/cm3. The total energy is -1.833 eV per atom.

The following is a DFT calculation (PBE) of an optimized crystal structure of CeY3N3.

The structure belongs to space group P-1 (No. 2); the cell edges are 5.486, 6.862 and 6.961 Å and the angles 104.27°, 92.65° and 90.01°. Symmetry generates all atoms from Ce at (0.250, 0.160, 0.133), Y at (0.248, 0.658, 0.136), Y at (0.267, 0.534, 0.641), Y at (0.268, 0.035, 0.639), N at (0.226, 0.853, 0.902), N at (0.232, 0.348, 0.902) and N at (0.497, 0.748, 0.496).

As for the mass density: 5.88 g/cm3. The total energy is -8.386 eV per atom.

The following is a DFT calculation (PBE) of an optimized crystal structure of Dy3H12Pd5.

The structure belongs to space group Ia-3d (No. 230); the cell edges are 11.805, 11.805 and 11.805 Å and the angles 90.00°, 90.00° and 90.00°. Symmetry generates all atoms from Dy at (0.000, 0.250, 0.125), H at (0.028, 0.055, 0.646), Pd at (0.000, 0.000, 0.000) and Pd at (0.000, 0.250, 0.375).

As for the mass density: 8.33 g/cm3. The total energy is -4.341 eV per atom.

The following is a DFT calculation (PBE) of an optimized crystal structure of TbTc2W.

The structure belongs to space group P4/mmm (No. 123); the cell edges are 3.208, 3.208 and 6.874 Å and the angles 90.00°, 90.00° and 90.00°. Symmetry generates all atoms from Tb at (0.000, 0.000, 0.000), Tc at (0.500, 0.500, 0.284) and W at (0.000, 0.000, 0.500).

As for the mass density: 12.64 g/cm3. The total energy is -9.553 eV per atom.

The following is a DFT calculation (PBE) of an optimized crystal structure of Sr2CuBr6.

The structure belongs to space group P2_1/c (No. 14); the cell edges are 6.835, 8.277 and 11.807 Å and the angles 90.00°, 124.60° and 90.00°. Symmetry generates all atoms from Sr at (0.217, 0.120, 0.261), Cu at (0.500, 0.000, 0.000), Br at (0.138, 0.150, 0.948), Br at (0.267, 0.672, 0.943) and Br at (0.372, 0.023, 0.760).

As for the mass density: 4.34 g/cm3. The total energy is -3.428 eV per atom.

The following is a DFT calculation (PBE) of an optimized crystal structure of PmGd2Fe.

The structure belongs to space group R-3m (No. 166, hexagonal axes); the cell edges are 3.5158, 3.5158 and 31.8002 Å and the angles 90.00°, 90.00° and 120.00°. Symmetry generates all atoms from Pm at (0.0000, 0.0000, 0.0000), Gd at (0.0000, 0.0000, 0.1091) and Fe at (0.0000, 0.0000, 0.5000).

The polymorph energy (0 for the lowest one) is 266.5 meV/atom. As for the mass density: 7.54 g/cm3. The total energy is -9.996 eV per atom.

The following is a DFT calculation (PBE) of an optimized crystal structure of Sc3GaTc.

The structure belongs to space group Pm-3m (No. 221); the cell edges are 4.972, 4.972 and 4.972 Å and the angles 90.00°, 90.00° and 90.00°. Symmetry generates all atoms from Sc at (0.000, 0.000, 0.500), Ga at (0.000, 0.000, 0.000) and Tc at (0.500, 0.500, 0.500).

The polymorph energy (0 for the lowest one) is 1069.8 meV/atom. As for the mass density: 4.09 g/cm3. The total energy is -5.776 eV per atom.

The following is a DFT calculation (PBE) of an optimized crystal structure of Ga2P2I.

The structure belongs to space group I4/mmm (No. 139); the cell edges are 4.465, 4.465 and 10.363 Å and the angles 90.00°, 90.00° and 90.00°. Symmetry generates all atoms from Ga at (0.000, 0.000, 0.123), P at (0.000, 0.500, 0.250) and I at (0.000, 0.000, 0.500).

As for the mass density: 5.28 g/cm3. The total energy is -3.438 eV per atom.

> Among the records above, which one has the lowest mass density?

Rb2NaHgTe

> Look up the mass density of the sixth one.

5.88 g/cm3